Computed, not measured: a relaxed structure of SrLaGaPt at the PBE level of DFT.

Calculated values
* uncorrected energy: -18.208 eV per cell
* ρ: 7.8 g/cm³
* symmetry: F-43m (216)
* crystal system: cubic

Cell lengths 5.290, 5.290, 5.290 Å; angles 60.00, 60.00, 60.00 degrees
Sites, in units of the cell vectors:
Sr (0.000, 0.000, 0.000)
La (0.500, 0.500, 0.500)
Ga (0.750, 0.750, 0.750)
Pt (0.250, 0.250, 0.250)

***

Computed, not measured: a relaxed structure of SrLaGa2Pt2 at the PBE level of DFT.

Calculated values
* uncorrected energy: -30.383 eV per cell
* ρ: 8.8 g/cm³
* symmetry: P-3m1 (164)
* crystal system: trigonal

Cell lengths 4.470, 4.470, 8.204 Å; angles 90.00, 90.00, 120.00 degrees
Sites, in units of the cell vectors:
Sr (0.000, 0.000, 0.000)
La (0.000, 0.000, 0.500)
Ga (0.333, 0.667, 0.741)
Ga (0.667, 0.333, 0.259)
Pt (0.333, 0.667, 0.274)
Pt (0.667, 0.333, 0.726)

***

Computed, not measured: a relaxed structure of La2TbGa2Pt7 at the PBE level of DFT.

Calculated values
* uncorrected energy: -75.120 eV per cell
* ρ: 13.3 g/cm³
* symmetry: C2/m (12)
* crystal system: monoclinic

Cell lengths 4.141, 4.141, 14.252 Å; angles 95.81, 95.81, 89.44 degrees
Sites, in units of the cell vectors:
La (0.108, 0.108, 0.355)
La (0.892, 0.892, 0.645)
Tb (0.000, 0.000, 0.000)
Ga (0.414, 0.414, 0.750)
Ga (0.586, 0.586, 0.250)
Pt (0.052, 0.552, 0.150)
Pt (0.385, 0.385, 0.575)
Pt (0.448, 0.948, 0.850)
Pt (0.500, 0.500, 0.000)
Pt (0.552, 0.052, 0.150)
Pt (0.615, 0.615, 0.425)
Pt (0.948, 0.448, 0.850)

***

Computed, not measured: a relaxed structure of LaTlGaPt2 at the PBE level of DFT.

Calculated values
* uncorrected energy: -22.281 eV per cell
* ρ: 10.1 g/cm³
* symmetry: P4/mmm (123)
* crystal system: tetragonal

Cell lengths 4.859, 4.859, 5.577 Å; angles 90.00, 90.00, 90.00 degrees
Sites, in units of the cell vectors:
La (0.000, 0.000, 0.000)
Tl (0.500, 0.500, 0.000)
Ga (0.000, 0.000, 0.500)
Pt (0.000, 0.500, 0.500)
Pt (0.500, 0.000, 0.500)

***

Computed, not measured: a relaxed structure of La2TmGa4Pt3 at the PBE level of DFT.

Calculated values
* uncorrected energy: -53.745 eV per cell
* ρ: 10.2 g/cm³
* symmetry: P-4m2 (115)
* crystal system: tetragonal

Cell lengths 4.281, 4.281, 11.638 Å; angles 90.00, 90.00, 90.00 degrees
Sites, in units of the cell vectors:
La (0.000, 0.500, 0.228)
La (0.500, 0.000, 0.772)
Tm (0.000, 0.000, 0.500)
Ga (0.000, 0.000, 0.000)
Ga (0.000, 0.500, 0.662)
Ga (0.500, 0.000, 0.338)
Ga (0.500, 0.500, 0.000)
Pt (0.000, 0.500, 0.876)
Pt (0.500, 0.000, 0.124)
Pt (0.500, 0.500, 0.500)

***

Computed, not measured: a relaxed structure of LaTm2Ga2Pt7 at the PBE level of DFT.

Calculated values
* uncorrected energy: -73.158 eV per cell
* ρ: 14.1 g/cm³
* symmetry: C2/m (12)
* crystal system: monoclinic

Cell lengths 4.068, 4.068, 14.293 Å; angles 97.20, 97.20, 89.26 degrees
Sites, in units of the cell vectors:
La (0.000, 0.000, 0.000)
Tm (0.138, 0.138, 0.362)
Tm (0.862, 0.862, 0.638)
Ga (0.385, 0.385, 0.734)
Ga (0.615, 0.615, 0.266)
Pt (0.071, 0.571, 0.163)
Pt (0.349, 0.349, 0.563)
Pt (0.429, 0.929, 0.837)
Pt (0.500, 0.500, 0.000)
Pt (0.571, 0.071, 0.163)
Pt (0.651, 0.651, 0.437)
Pt (0.929, 0.429, 0.837)

***

no.,DOS at the Fermi energy (states/eV/cell)
1,4.08
2,2.20
3,3.03
4,7.19
5,8.74
6,3.21